Np2Ga8Pd: relaxed, PBE.

Calculated values
**Total moment**: 7.5 μB/f.u.
**Density**: 9.1 g/cm3
**D(E_F)**: 19.39 states/eV/cell
**Energy of formation**: -0.30 eV per atom
**Space-group type**: P4/mmm
**Crystal system**: tetragonal
**V**: 208.2 Å³/f.u.

Lattice parameters (Å, degrees): 4.305 4.305 11.235 90.00 90.00 90.00
Element x y z (fractional)
Np: 0.000 0.000 0.189
Np: 0.000 0.000 0.811
Ga: 0.000 0.500 0.000
Ga: 0.000 0.500 0.372
Ga: 0.000 0.500 0.628
Ga: 0.500 0.000 0.000
Ga: 0.500 0.000 0.372
Ga: 0.500 0.000 0.628
Ga: 0.500 0.500 0.191
Ga: 0.500 0.500 0.809
Pd: 0.000 0.000 0.500

***

Np4Ga12Pd: relaxed, PBE.

Calculated values
**Total moment**: 15.9 μB/f.u.
**Density**: 9.8 g/cm3
**D(E_F)**: 30.25 states/eV/cell
**Energy of formation**: -0.28 eV per atom
**Space-group type**: Im-3m
**Crystal system**: cubic
**V**: 321.4 Å³/f.u.

Lattice parameters (Å, degrees): 7.474 7.474 7.474 109.47 109.47 109.47
Element x y z (fractional)
Np: 0.000 0.000 0.500
Np: 0.000 0.500 0.000
Np: 0.500 0.000 0.000
Np: 0.500 0.500 0.500
Ga: 0.000 0.294 0.294
Ga: 0.000 0.706 0.706
Ga: 0.250 0.500 0.750
Ga: 0.250 0.750 0.500
Ga: 0.294 0.000 0.294
Ga: 0.294 0.294 0.000
Ga: 0.500 0.250 0.750
Ga: 0.500 0.750 0.250
Ga: 0.706 0.000 0.706
Ga: 0.706 0.706 0.000
Ga: 0.750 0.250 0.500
Ga: 0.750 0.500 0.250
Pd: 0.000 0.000 0.000